(1)
! K2NbRu PBE relaxed; values from VASP
&SYSTEM
  ibrav = 0, nat = 4, ntyp = 3
/
ATOMIC_SPECIES
K 39.10 K.upf
Nb 92.91 Nb.upf
Ru 101.07 Ru.upf
ATOMIC_POSITIONS crystal
K 0.2500 0.2500 0.2500
K 0.7500 0.7500 0.7500
Nb 0.0000 0.0000 0.0000
Ru 0.5000 0.5000 0.5000
CELL_PARAMETERS angstrom
0.0000 3.7073 3.7073
3.7073 0.0000 3.7073
3.7073 3.7073 0.0000
! - total magnetic moment (μB per formula unit) = 0.004
! - crystal system = cubic
! - polymorph energy (0 for the lowest one) (meV per atom) = 1029.9
! - symmetry = Fm-3m, No. 225


(2)
! KNbRu3 PBE relaxed; values from VASP
&SYSTEM
  ibrav = 0, nat = 5, ntyp = 3
/
ATOMIC_SPECIES
K 39.10 K.upf
Nb 92.91 Nb.upf
Ru 101.07 Ru.upf
ATOMIC_POSITIONS crystal
K 0.0000 0.0000 0.0000
Nb 0.5000 0.5000 0.5000
Ru 0.0000 0.0000 0.5000
Ru 0.0000 0.5000 0.0000
Ru 0.5000 0.0000 0.0000
CELL_PARAMETERS angstrom
4.4900 0.0000 0.0000
0.0000 4.4900 0.0000
0.0000 0.0000 4.4900
! - total magnetic moment (μB per formula unit) = 0.000
! - crystal system = cubic
! - polymorph energy (0 for the lowest one) (meV per atom) = 1274.9
! - symmetry = Pm-3m, No. 221


(3)
! KNbRu2 PBE relaxed; values from VASP
&SYSTEM
  ibrav = 0, nat = 4, ntyp = 3
/
ATOMIC_SPECIES
K 39.10 K.upf
Nb 92.91 Nb.upf
Ru 101.07 Ru.upf
ATOMIC_POSITIONS crystal
K 0.0000 0.0000 0.0000
Nb 0.5000 0.5000 0.5000
Ru 0.2500 0.2500 0.2500
Ru 0.7500 0.7500 0.7500
CELL_PARAMETERS angstrom
0.0000 3.2771 3.2771
3.2771 0.0000 3.2771
3.2771 3.2771 0.0000
! - total magnetic moment (μB per formula unit) = 0.000
! - crystal system = cubic
! - polymorph energy (0 for the lowest one) (meV per atom) = 0.0
! - symmetry = Fm-3m, No. 225


(4)
! KNbRu2 PBE relaxed; values from VASP
&SYSTEM
  ibrav = 0, nat = 8, ntyp = 3
/
ATOMIC_SPECIES
K 39.10 K.upf
Nb 92.91 Nb.upf
Ru 101.07 Ru.upf
ATOMIC_POSITIONS crystal
K 0.0000 0.0000 0.0000
K 0.7500 0.2500 0.5000
Nb 0.2500 0.7500 0.5000
Nb 0.5000 0.5000 0.0000
Ru 0.3004 0.6250 0.1754
Ru 0.3750 0.5504 0.6754
Ru 0.4496 0.1250 0.8246
Ru 0.8750 0.6996 0.3246
CELL_PARAMETERS angstrom
-2.5727 2.5727 8.1256
2.5727 -2.5727 8.1256
2.5727 2.5727 -8.1256
! - total magnetic moment (μB per formula unit) = 0.000
! - crystal system = tetragonal
! - polymorph energy (0 for the lowest one) (meV per atom) = 329.4
! - symmetry = I-42d, No. 122


(5)
! KNb2Ru PBE relaxed; values from VASP
&SYSTEM
  ibrav = 0, nat = 8, ntyp = 3
/
ATOMIC_SPECIES
K 39.10 K.upf
Nb 92.91 Nb.upf
Ru 101.07 Ru.upf
ATOMIC_POSITIONS crystal
K 0.3750 0.6250 0.7500
K 0.6250 0.3750 0.2500
Nb 0.0000 0.0000 0.0000
Nb 0.0000 0.0000 0.5000
Nb 0.0000 0.5000 0.0000
Nb 0.5000 0.0000 0.5000
Ru 0.1250 0.8750 0.2500
Ru 0.8750 0.1250 0.7500
CELL_PARAMETERS angstrom
-2.6184 2.6184 8.6353
2.6184 -2.6184 8.6353
2.6184 2.6184 -8.6353
! - total magnetic moment (μB per formula unit) = 0.000
! - crystal system = tetragonal
! - polymorph energy (0 for the lowest one) (meV per atom) = 332.8
! - symmetry = I4_1/amd, No. 141


(6)
! K2NbRu PBE relaxed; values from VASP
&SYSTEM
  ibrav = 0, nat = 8, ntyp = 3
/
ATOMIC_SPECIES
K 39.10 K.upf
Nb 92.91 Nb.upf
Ru 101.07 Ru.upf
ATOMIC_POSITIONS crystal
K 0.3750 0.2095 0.3345
K 0.7905 0.1250 0.1655
K 0.8750 0.0405 0.6655
K 0.9595 0.6250 0.8345
Nb 0.2500 0.7500 0.5000
Nb 0.5000 0.5000 0.0000
Ru 0.0000 0.0000 0.0000
Ru 0.7500 0.2500 0.5000
CELL_PARAMETERS angstrom
-6.3566 6.3566 2.3048
6.3566 -6.3566 2.3048
6.3566 6.3566 -2.3048
! - total magnetic moment (μB per formula unit) = 1.003
! - crystal system = tetragonal
! - polymorph energy (0 for the lowest one) (meV per atom) = 0.0
! - symmetry = I-42d, No. 122


(7)
! KNbRu3 PBE relaxed; values from VASP
&SYSTEM
  ibrav = 0, nat = 5, ntyp = 3
/
ATOMIC_SPECIES
K 39.10 K.upf
Nb 92.91 Nb.upf
Ru 101.07 Ru.upf
ATOMIC_POSITIONS crystal
K 0.0000 0.0000 0.0000
Nb 0.5000 0.5000 0.5000
Ru 0.0000 0.5000 0.5000
Ru 0.5000 0.0000 0.5000
Ru 0.5000 0.5000 0.0000
CELL_PARAMETERS angstrom
4.8682 0.0000 0.0000
0.0000 4.8682 0.0000
0.0000 0.0000 4.8682
! - total magnetic moment (μB per formula unit) = 3.193
! - crystal system = cubic
! - polymorph energy (0 for the lowest one) (meV per atom) = 0.0
! - symmetry = Pm-3m, No. 221


(8)
! KSrNb2Ru PBE relaxed; values from VASP
&SYSTEM
  ibrav = 0, nat = 5, ntyp = 4
/
ATOMIC_SPECIES
K 39.10 K.upf
Sr 87.62 Sr.upf
Nb 92.91 Nb.upf
Ru 101.07 Ru.upf
ATOMIC_POSITIONS crystal
K 0.0000 0.0000 0.0000
Sr 0.0000 0.0000 0.5000
Nb 0.0000 0.5000 0.5000
Nb 0.5000 0.0000 0.5000
Ru 0.5000 0.5000 0.0000
CELL_PARAMETERS angstrom
5.0089 0.0000 0.0000
0.0000 5.0089 0.0000
0.0000 0.0000 5.1220
! - total magnetic moment (μB per formula unit) = 0.000
! - crystal system = tetragonal
! - VASP energy (eV per atom) = -3.687
! - symmetry = P4/mmm, No. 123


(9)
! KTaNbRu2 PBE relaxed; values from VASP
&SYSTEM
  ibrav = 0, nat = 5, ntyp = 4
/
ATOMIC_SPECIES
K 39.10 K.upf
Ta 180.95 Ta.upf
Nb 92.91 Nb.upf
Ru 101.07 Ru.upf
ATOMIC_POSITIONS crystal
K 0.0000 0.0000 0.0000
Ta 0.0000 0.0000 0.5000
Nb 0.5000 0.5000 0.0000
Ru 0.0000 0.5000 0.5000
Ru 0.5000 0.0000 0.5000
CELL_PARAMETERS angstrom
4.7219 0.0000 0.0000
0.0000 4.7219 0.0000
0.0000 0.0000 5.0324
! - total magnetic moment (μB per formula unit) = 0.000
! - crystal system = tetragonal
! - VASP energy (eV per atom) = -6.311
! - symmetry = P4/mmm, No. 123


(10)
! K2NbTlRu PBE relaxed; values from VASP
&SYSTEM
  ibrav = 0, nat = 5, ntyp = 4
/
ATOMIC_SPECIES
K 39.10 K.upf
Nb 92.91 Nb.upf
Tl 204.38 Tl.upf
Ru 101.07 Ru.upf
ATOMIC_POSITIONS crystal
K 0.0000 0.5000 0.0000
K 0.5000 0.0000 0.0000
Nb 0.0000 0.0000 0.5000
Tl 0.0000 0.0000 0.0000
Ru 0.5000 0.5000 0.5000
CELL_PARAMETERS angstrom
6.2373 0.0000 0.0000
0.0000 6.2373 0.0000
0.0000 0.0000 5.5362
! - total magnetic moment (μB per formula unit) = 5.878
! - crystal system = tetragonal
! - VASP energy (eV per atom) = -2.887
! - symmetry = P4/mmm, No. 123


(11)
! KNb2S3 PBE relaxed; values from VASP
&SYSTEM
  ibrav = 0, nat = 12, ntyp = 3
/
ATOMIC_SPECIES
K 39.10 K.upf
Nb 92.91 Nb.upf
S 32.06 S.upf
ATOMIC_POSITIONS crystal
K 0.2477 0.7523 0.7500
K 0.7523 0.2477 0.2500
Nb 0.0000 0.0000 0.0000
Nb 0.0000 0.0000 0.5000
Nb 0.4751 0.5249 0.2500
Nb 0.5249 0.4751 0.7500
S 0.0843 0.9157 0.2500
S 0.3825 0.6175 0.0497
S 0.3825 0.6175 0.4503
S 0.6175 0.3825 0.5497
S 0.6175 0.3825 0.9503
S 0.9157 0.0843 0.7500
CELL_PARAMETERS angstrom
1.7503 -7.8531 0.0000
1.7503 7.8531 0.0000
0.0000 0.0000 9.5086
! - total magnetic moment (μB per formula unit) = 0.000
! - crystal system = orthorhombic
! - symmetry = Cmcm, No. 63
! - energy relative to the elements, uncorrected (meV/atom) = -1082.2


(12)
! K2Nb4S7 PBE relaxed; values from VASP
&SYSTEM
  ibrav = 0, nat = 13, ntyp = 3
/
ATOMIC_SPECIES
K 39.10 K.upf
Nb 92.91 Nb.upf
S 32.06 S.upf
ATOMIC_POSITIONS crystal
K 0.3333 0.6667 0.0000
K 0.6667 0.3333 0.0000
Nb 0.0000 0.0000 0.3363
Nb 0.0000 0.0000 0.6637
Nb 0.3333 0.6667 0.5000
Nb 0.6667 0.3333 0.5000
S 0.0000 0.0000 0.0000
S 0.0000 0.3892 0.2993
S 0.0000 0.6108 0.7007
S 0.3892 0.0000 0.2993
S 0.3892 0.3892 0.7007
S 0.6108 0.0000 0.7007
S 0.6108 0.6108 0.2993
CELL_PARAMETERS angstrom
6.1152 0.0000 0.0000
-3.0576 5.2959 0.0000
0.0000 0.0000 8.4374
! - total magnetic moment (μB per formula unit) = 0.000
! - crystal system = trigonal
! - symmetry = P-31m, No. 162
! - energy relative to the elements, uncorrected (meV/atom) = -813.3


(13)
! KNb4S8 PBE relaxed; values from VASP
&SYSTEM
  ibrav = 0, nat = 13, ntyp = 3
/
ATOMIC_SPECIES
K 39.10 K.upf
Nb 92.91 Nb.upf
S 32.06 S.upf
ATOMIC_POSITIONS crystal
K 0.0000 0.0000 0.0000
Nb 0.1594 0.1594 0.4797
Nb 0.3261 0.3261 0.1530
Nb 0.6739 0.6739 0.8470
Nb 0.8406 0.8406 0.5203
S 0.0371 0.0371 0.7239
S 0.3111 0.3111 0.9370
S 0.3482 0.3482 0.6809
S 0.3553 0.3553 0.3911
S 0.6447 0.6447 0.6089
S 0.6518 0.6518 0.3191
S 0.6889 0.6889 0.0630
S 0.9629 0.9629 0.2761
CELL_PARAMETERS angstrom
8.7161 -1.6923 0.0000
8.7161 1.6923 0.0000
-8.1387 0.0000 9.0693
! - total magnetic moment (μB per formula unit) = 0.000
! - crystal system = monoclinic
! - polymorph energy (0 for the lowest one) (meV per atom) = 0.0
! - symmetry = C2/m, No. 12
! - energy relative to the elements, uncorrected (meV/atom) = -1028.5


(14)
! KNb6S12 PBE relaxed; values from VASP
&SYSTEM
  ibrav = 0, nat = 19, ntyp = 3
/
ATOMIC_SPECIES
K 39.10 K.upf
Nb 92.91 Nb.upf
S 32.06 S.upf
ATOMIC_POSITIONS crystal
K 0.0000 0.0000 0.0000
Nb 0.2486 0.2486 0.6342
Nb 0.2486 0.6342 0.2486
Nb 0.3658 0.7514 0.7514
Nb 0.6342 0.2486 0.2486
Nb 0.7514 0.3658 0.7514
Nb 0.7514 0.7514 0.3658
S 0.1253 0.5000 0.8747
S 0.1253 0.8747 0.5000
S 0.1755 0.4558 0.4558
S 0.4558 0.1755 0.4558
S 0.4558 0.4558 0.1755
S 0.5000 0.1253 0.8747
S 0.5000 0.8747 0.1253
S 0.5442 0.5442 0.8245
S 0.5442 0.8245 0.5442
S 0.8245 0.5442 0.5442
S 0.8747 0.1253 0.5000
S 0.8747 0.5000 0.1253
CELL_PARAMETERS angstrom
5.9812 3.4532 3.0964
-5.9812 3.4532 3.0964
0.0000 -6.9065 3.0964
! - total magnetic moment (μB per formula unit) = 2.186
! - crystal system = trigonal
! - symmetry = R-3m, No. 166
! - energy relative to the elements, uncorrected (meV/atom) = -682.7


(15)
! KNbS4 PBE relaxed; values from VASP
&SYSTEM
  ibrav = 0, nat = 12, ntyp = 3
/
ATOMIC_SPECIES
K 39.10 K.upf
Nb 92.91 Nb.upf
S 32.06 S.upf
ATOMIC_POSITIONS crystal
K 0.1354 0.8646 0.7500
K 0.8646 0.1354 0.2500
Nb 0.4441 0.5559 0.2500
Nb 0.5559 0.4441 0.7500
S 0.2028 0.6253 0.3657
S 0.2805 0.2953 0.5203
S 0.2953 0.2805 0.0203
S 0.3747 0.7972 0.1343
S 0.6253 0.2028 0.8657
S 0.7047 0.7195 0.9797
S 0.7195 0.7047 0.4797
S 0.7972 0.3747 0.6343
CELL_PARAMETERS angstrom
3.9032 -7.0242 0.0000
3.9032 7.0242 0.0000
-0.2831 0.0000 6.5486
! - total magnetic moment (μB per formula unit) = 0.000
! - crystal system = monoclinic
! - polymorph energy (0 for the lowest one) (meV per atom) = 0.0
! - symmetry = C2/c, No. 15
! - energy relative to the elements, uncorrected (meV/atom) = -883.0


(16)
! K2Nb2S5 PBE relaxed; values from VASP
&SYSTEM
  ibrav = 0, nat = 9, ntyp = 3
/
ATOMIC_SPECIES
K 39.10 K.upf
Nb 92.91 Nb.upf
S 32.06 S.upf
ATOMIC_POSITIONS crystal
K 0.0684 0.0684 0.3069
K 0.9316 0.9316 0.6931
Nb 0.3562 0.3562 0.1005
Nb 0.6438 0.6438 0.8995
S 0.1841 0.1841 0.9875
S 0.3828 0.3828 0.3903
S 0.5000 0.5000 0.0000
S 0.6172 0.6172 0.6097
S 0.8159 0.8159 0.0125
CELL_PARAMETERS angstrom
7.2919 -2.3523 0.0000
7.2919 2.3523 0.0000
-1.2667 0.0000 7.7242
! - total magnetic moment (μB per formula unit) = 0.000
! - crystal system = monoclinic
! - symmetry = C2/m, No. 12
! - energy relative to the elements, uncorrected (meV/atom) = -1005.7


(17)
! K3Nb2S11 PBE relaxed; values from VASP
&SYSTEM
  ibrav = 0, nat = 64, ntyp = 3
/
ATOMIC_SPECIES
K 39.10 K.upf
Nb 92.91 Nb.upf
S 32.06 S.upf
ATOMIC_POSITIONS crystal
K 0.1264 0.8074 0.8973
K 0.1404 0.4427 0.7417
K 0.1506 0.6066 0.1706
K 0.1926 0.8736 0.6027
K 0.3934 0.8494 0.3294
K 0.4427 0.1404 0.2417
K 0.5573 0.8596 0.7583
K 0.6066 0.1506 0.6706
K 0.8074 0.1264 0.3973
K 0.8494 0.3934 0.8294
K 0.8596 0.5573 0.2583
K 0.8736 0.1926 0.1027
Nb 0.0391 0.6034 0.4173
Nb 0.1096 0.7252 0.5689
Nb 0.2748 0.8904 0.9311
Nb 0.3966 0.9609 0.0827
Nb 0.6034 0.0391 0.9173
Nb 0.7252 0.1096 0.0689
Nb 0.8904 0.2748 0.4311
Nb 0.9609 0.3966 0.5827
S 0.0088 0.7122 0.6430
S 0.0235 0.0700 0.8594
S 0.0380 0.5522 0.2417
S 0.0700 0.0235 0.3594
S 0.0800 0.1643 0.5946
S 0.0830 0.2510 0.0527
S 0.0921 0.3767 0.5043
S 0.1643 0.0800 0.0946
S 0.2250 0.5691 0.7213
S 0.2299 0.6653 0.4186
S 0.2510 0.0830 0.5527
S 0.2878 0.9912 0.8570
S 0.3082 0.3267 0.4975
S 0.3119 0.4234 0.4452
S 0.3267 0.3082 0.9975
S 0.3347 0.7701 0.0814
S 0.3767 0.0921 0.0043
S 0.3794 0.5457 0.5606
S 0.4234 0.3119 0.9452
S 0.4309 0.7750 0.7787
S 0.4478 0.9620 0.2583
S 0.4543 0.6206 0.9394
S 0.5457 0.3794 0.0606
S 0.5522 0.0380 0.7417
S 0.5691 0.2250 0.2213
S 0.5766 0.6881 0.0548
S 0.6206 0.4543 0.4394
S 0.6233 0.9079 0.9957
S 0.6653 0.2299 0.9186
S 0.6733 0.6918 0.0025
S 0.6881 0.5766 0.5548
S 0.6918 0.6733 0.5025
S 0.7122 0.0088 0.1430
S 0.7490 0.9170 0.4473
S 0.7701 0.3347 0.5814
S 0.7750 0.4309 0.2787
S 0.8357 0.9200 0.9054
S 0.9079 0.6233 0.4957
S 0.9170 0.7490 0.9473
S 0.9200 0.8357 0.4054
S 0.9300 0.9765 0.6406
S 0.9620 0.4478 0.7583
S 0.9765 0.9300 0.1406
S 0.9912 0.2878 0.3570
CELL_PARAMETERS angstrom
18.1271 -4.0635 0.0000
18.1271 4.0635 0.0000
-2.5181 0.0000 12.3902
! - total magnetic moment (μB per formula unit) = 0.000
! - crystal system = monoclinic
! - symmetry = C2/c, No. 15
! - energy relative to the elements, uncorrected (meV/atom) = -838.6


(18)
! K3NbS PBE relaxed; values from VASP
&SYSTEM
  ibrav = 0, nat = 5, ntyp = 3
/
ATOMIC_SPECIES
K 39.10 K.upf
Nb 92.91 Nb.upf
S 32.06 S.upf
ATOMIC_POSITIONS crystal
K 0.0000 0.0000 0.5000
K 0.0000 0.5000 0.0000
K 0.5000 0.0000 0.0000
Nb 0.5000 0.5000 0.5000
S 0.0000 0.0000 0.0000
CELL_PARAMETERS angstrom
6.0869 0.0000 0.0000
0.0000 6.0869 0.0000
0.0000 0.0000 6.0869
! - total magnetic moment (μB per formula unit) = 5.190
! - crystal system = cubic
! - polymorph energy (0 for the lowest one) (meV per atom) = 0.0
! - symmetry = Pm-3m, No. 221
! - energy relative to the elements, uncorrected (meV/atom) = 490.0